{"formula": "RbTlW2O8", "functional": "GGA+U", "state": "optimized geometry", "lattice": [[5.4932, 0.0000, 0.0000], [2.7466, 4.7573, 0.0000], [2.7466, 1.5858, 9.2601]], "species": ["Rb", "Tl", "W", "W", "O", "O", "O", "O", "O", "O", "O", "O"], "frac_coords": [[0.0000, 0.0000, 0.0000], [0.5000, 0.5000, 0.5000], [0.7607, 0.7607, 0.7179], [0.2393, 0.2393, 0.2821], [0.6965, 0.6965, 0.9106], [0.3035, 0.3035, 0.0894], [0.5155, 0.2556, 0.3432], [0.7444, 0.4845, 0.6568], [0.1144, 0.7444, 0.6568], [0.2556, 0.8856, 0.3432], [0.8856, 0.5155, 0.3432], [0.4845, 0.1144, 0.6568]], "vol_a3_per_atom": 20.166, "e_tot_ev_per_atom": -6.4189}